Density functional theory data (PBE) for crystalline LiNbCuPb at its relaxed geometry.

Cell lengths 6.597, 6.597, 6.597 Å; angles 90.00, 90.00, 90.00 degrees
Space group F-43m (No. 216)
Inequivalent atoms, fractional coordinates:
Li 0.000 0.000 0.000 x4
Nb 0.250 0.250 0.250 x4
Cu 0.250 0.250 0.750 x4
Pb 0.000 0.000 0.500 x4

E above lowest polymorph   0.073 eV per atom

***

Density functional theory data (PBE) for crystalline Li2NbCu2S4 at its relaxed geometry.

Cell lengths 13.606, 3.544, 6.963 Å; angles 90.00, 119.54, 90.00 degrees
Space group C2/m (No. 12)
Inequivalent atoms, fractional coordinates:
Li 0.147 0.000 0.025 x4
Nb 0.000 0.000 0.500 x2
Cu 0.173 0.500 0.470 x4
S 0.012 0.500 0.771 x4
S 0.218 0.000 0.720 x4

DFT total energy   -5.0076 eV per atom

***

Density functional theory data (PBE) for crystalline LiNbCuS3 at its relaxed geometry.

Cell lengths 3.439, 12.287, 9.487 Å; angles 90.00, 90.00, 90.00 degrees
Space group Cmcm (No. 63)
Inequivalent atoms, fractional coordinates:
Li 0.000 0.235 0.250 x4
Nb 0.000 0.000 0.000 x4
Cu 0.000 0.469 0.750 x4
S 0.000 0.094 0.750 x4
S 0.000 0.359 0.562 x8

DFT total energy   -5.4951 eV per atom